Entry 1:
First-principles (GGA-PBE) data for a geometry-optimized MgTl3Hg3 structure, as listed in Alexandria.

Summary:
crystal system	monoclinic
ΔH_f (0 K)	-0.02	eV per atom
energy relative to the lowest polymorph listed for this composition	0.00	kJ per mole of atoms

```
MgTl3Hg3
1.0
-4.5952 -1.4317 -4.0015
5.2249 0.3109 -3.4323
1.6077 -9.9849 2.8315
Tl Hg Mg
6 6 2
Direct
0.3030 0.6970 0.0000
0.6970 0.3030 0.0000
0.4695 0.4695 0.6508
0.5305 0.5305 0.3492
0.1632 0.8368 0.5000
0.8368 0.1632 0.5000
0.0133 0.4473 0.2668
0.5527 0.9867 0.7332
0.4473 0.0133 0.2668
0.8759 0.8759 0.1998
0.1241 0.1241 0.8002
0.9867 0.5527 0.7332
0.2002 0.2002 0.0772
0.7998 0.7998 0.9228
```

Entry 2:
First-principles (GGA-PBE) data for a geometry-optimized BaGaB4H3O10 structure, as listed in Alexandria.

Summary:
E_tot	-264.75	eV per cell
crystal system	triclinic

```
BaGaB4H3O10
1.0
-4.4108 -5.4289 -1.6957
4.9375 2.2102 -4.7999
4.8535 -5.7182 6.5919
B H O Ba Ga
8 6 20 2 2
Direct
0.0626 0.2535 0.3552
0.3771 0.7638 0.0903
0.5609 0.6341 0.6548
0.6229 0.2362 0.9097
0.9374 0.7465 0.6448
0.6983 0.3972 0.7048
0.4391 0.3659 0.3452
0.3017 0.6028 0.2952
0.8512 0.8897 0.0272
0.1445 0.3369 0.0313
0.8555 0.6631 0.9687
0.3811 0.8280 0.9045
0.1488 0.1103 0.9728
0.6189 0.1720 0.0955
0.7475 0.4037 0.8520
0.4709 0.5459 0.3064
0.2525 0.5963 0.1480
0.4606 0.0257 0.8298
0.6160 0.3536 0.3775
0.0845 0.1914 0.9498
0.5394 0.9743 0.1702
0.2299 0.2044 0.3545
0.0914 0.4347 0.3215
0.3201 0.6990 0.9434
0.9155 0.8086 0.0502
0.7701 0.7956 0.6455
0.1185 0.8885 0.6034
0.9086 0.5653 0.6785
0.6799 0.3010 0.0566
0.3840 0.6464 0.6225
0.6339 0.1746 0.6020
0.8815 0.1115 0.3966
0.5291 0.4541 0.6936
0.3661 0.8254 0.3980
0.0810 0.2954 0.7088
0.9190 0.7046 0.2912
0.3925 0.9097 0.6200
0.6075 0.0903 0.3800
```

Respective magnetization values: 0.0; 0.0 μB per formula unit.